No. 1
This record from Alexandria via LeMat-Bulk describes a geometry-optimized Ce2NpAl structure. The functional is GGA-PBE.

```
4
Lattice="3.747 0.000 0.000 0.000 3.747 0.000 0.000 0.000 6.896" Properties=species:S:1:pos:R:3 pbc="T T T"
Ce 0.000 0.000 1.696
Ce 0.000 0.000 5.200
Np 1.874 1.874 3.448
Al 1.874 1.874 0.000
```

symmetry = P4/mmm
D(E_F) = 2.9284 states/eV per atom
energy above the most stable polymorph in this dataset = 78 meV/atom
formation energy = 0.11 eV/atom
total energy = -7.032 eV per atom
crystal system = tetragonal



No. 2
This record from Alexandria via LeMat-Bulk describes a geometry-optimized RbRe2NiCl structure. The functional is GGA-PBE.

```
5
Lattice="4.527 0.000 0.000 0.000 4.527 0.000 0.000 0.000 7.278" Properties=species:S:1:pos:R:3 pbc="T T T"
Rb 0.000 0.000 0.000
Re 0.000 2.264 3.639
Re 2.264 0.000 3.639
Ni 0.000 0.000 3.639
Cl 2.264 2.264 0.000
```

symmetry = P4/mmm
D(E_F) = 0.7871 states/eV per atom
total energy = -5.294 eV per atom
crystal system = tetragonal



No. 3
This record from Alexandria via LeMat-Bulk describes a geometry-optimized YHfIrAu structure. The functional is GGA-PBE.

```
4
Lattice="0.000 3.426 3.426 3.426 0.000 3.426 3.426 3.426 0.000" Properties=species:S:1:pos:R:3 pbc="T T T"
Y 0.000 0.000 0.000
Hf 3.426 3.426 3.426
Ir 5.139 5.139 5.139
Au 1.713 1.713 1.713
```

symmetry = F-43m
D(E_F) = 0.7286 states/eV per atom
formation energy = -0.67 eV/atom
total energy = -7.806 eV per atom
crystal system = cubic



No. 4
This record from Alexandria via LeMat-Bulk describes a geometry-optimized In2FeNiPt structure. The functional is GGA-PBE.

```
5
Lattice="5.088 0.000 0.000 0.000 5.088 0.000 0.000 0.000 4.719" Properties=species:S:1:pos:R:3 pbc="T T T"
In 0.000 2.544 0.000
In 2.544 0.000 0.000
Fe 0.000 0.000 2.359
Ni 2.544 2.544 2.359
Pt 2.544 2.544 0.000
```

symmetry = P4/mmm
D(E_F) = 1.5591 states/eV per atom
formation energy = 0.81 eV/atom
total energy = -4.345 eV per atom
crystal system = tetragonal



No. 5
This record from Alexandria via LeMat-Bulk describes a geometry-optimized CsRb3S structure. The functional is GGA-PBE.

```
5
Lattice="6.791 0.000 0.000 0.000 6.791 0.000 0.000 0.000 6.791" Properties=species:S:1:pos:R:3 pbc="T T T"
Cs 0.000 0.000 0.000
Rb 0.000 3.395 3.395
Rb 3.395 0.000 3.395
Rb 3.395 3.395 0.000
S 3.395 3.395 3.395
```

symmetry = Pm-3m
D(E_F) = 0.3191 states/eV per atom
energy above the most stable polymorph in this dataset = 0 meV/atom
total energy = -2.051 eV per atom
crystal system = cubic



No. 6
This record from Alexandria via LeMat-Bulk describes a geometry-optimized ScTlZn2Si structure. The functional is GGA-PBE.

```
5
Lattice="4.658 0.000 0.000 0.000 4.658 0.000 0.000 0.000 5.159" Properties=species:S:1:pos:R:3 pbc="T T T"
Sc 0.000 0.000 0.000
Tl 2.329 2.329 0.000
Zn 0.000 2.329 2.580
Zn 2.329 0.000 2.580
Si 0.000 0.000 2.580
```

symmetry = P4/mmm
D(E_F) = 0.5317 states/eV per atom
total energy = -3.219 eV per atom
crystal system = tetragonal